[1]
## CaCuMo2 (PBE)

Data for a relaxed structure of CaCuMo2.

Computed properties:
D(E_F), states/eV/f.u.: 3.66
E above lowest polymorph, eV/atom: 0.260
Energy relative to the elements, eV/f.u.: 2.398
E, eV/atom: -6.34
Spin magnetization, μB per formula unit: 0.00
Mass density, g cm⁻³: 6.841

a = 2.8964 Å, b = 5.1064 Å, c = 4.8708 Å
α = 90.00°, β = 95.31°, γ = 90.00°
Closest atoms and distances in Å follow each position.
Positions (direct):
Ca 0.0000 0.0000 0.0000  4 Cu 2.72-2.95, 2 Ca 2.90
Cu 0.5000 0.0000 0.5000  4 Ca 2.72-2.95, 4 Mo 2.86, 2 Cu 2.90
Mo 0.3695 0.5000 0.7460  2 Mo 2.52-2.58
Mo 0.6305 0.5000 0.2540  2 Mo 2.52-2.58

[2]
## Re3Pb5 (PBE)

Data for a relaxed structure of Re3Pb5.

Computed properties:
D(E_F), states/eV/f.u.: 8.25
E above lowest polymorph, eV/atom: 0.000
Energy relative to the elements, eV/f.u.: 8.774
E, eV/atom: -5.89
Spin magnetization, μB per formula unit: 0.00
Mass density, g cm⁻³: 14.722

a = 8.2431 Å, b = 8.2431 Å, c = 8.2406 Å
α = 97.98°, β = 97.98°, γ = 136.20°
Closest atoms and distances in Å follow each position.
Positions (direct):
Re 0.0000 0.0000 0.0000  8 Pb 2.88-3.07
Re 0.2842 0.7838 0.8340  8 Pb 2.83-2.96, 2 Re 3.07
Re 0.3327 0.3327 0.6671  8 Pb 2.89-3.06
Re 0.5001 0.8334 0.3337  8 Pb 2.88-3.06
Re 0.7838 0.2842 0.8340  8 Pb 2.83-2.96, 2 Re 3.07
Re 0.8334 0.5001 0.3337  8 Pb 2.88-3.06
Pb 0.1266 0.7665 0.1216  5 Re 2.83-2.99
Pb 0.2666 0.4788 0.9738  5 Re 2.83-2.99
Pb 0.3391 0.9788 0.5461  5 Re 2.83-2.99
Pb 0.3917 0.3917 0.3339  4 Re 2.90-3.06, 2 Pb 3.07-3.08
Pb 0.4788 0.2666 0.9738  5 Re 2.83-2.99
Pb 0.6270 0.8392 0.6940  5 Re 2.83-2.99
Pb 0.7665 0.1266 0.1216  5 Re 2.83-2.99
Pb 0.8392 0.6270 0.6940  5 Re 2.83-2.99
Pb 0.8918 0.8918 0.3344  4 Re 2.90-3.07, 2 Pb 3.07-3.08
Pb 0.9788 0.3391 0.5461  5 Re 2.83-2.99

[3]
## CsIrF5 (PBE)

Data for a relaxed structure of CsIrF5.

Computed properties:
D(E_F), states/eV/f.u.: 2.17
E, eV/atom: -4.64
Spin magnetization, μB per formula unit: 1.01
Formation energy without anion corrections, eV per atom: -1.91
Mass density, g cm⁻³: 4.663

a = 6.5323 Å, b = 6.5323 Å, c = 7.7605 Å
α = 106.91°, β = 106.91°, γ = 76.67°
Closest atoms and distances in Å follow each position.
Positions (direct):
Cs 0.0329 0.9671 0.7500  7 F 2.92-3.14
Cs 0.9671 0.0329 0.2500  7 F 2.92-3.14
Ir 0.5000 0.5000 0.0000  6 F 1.94-2.05
Ir 0.5000 0.5000 0.5000  6 F 1.94-2.05
F 0.2171 0.6680 0.0241  1 Ir 1.95
F 0.2376 0.3726 0.3862  1 Ir 1.94
F 0.3320 0.7829 0.4759  1 Ir 1.95
F 0.3726 0.2376 0.8862  1 Ir 1.94
F 0.4201 0.5799 0.7500  2 Ir 2.05
F 0.5799 0.4201 0.2500  2 Ir 2.05
F 0.6274 0.7624 0.1138  1 Ir 1.94
F 0.6680 0.2171 0.5241  1 Ir 1.95
F 0.7624 0.6274 0.6138  1 Ir 1.94
F 0.7829 0.3320 0.9759  1 Ir 1.95

[4]
## NpPa2Os (PBE)

Data for a relaxed structure of NpPa2Os.

Computed properties:
D(E_F), states/eV/f.u.: 7.13
E above lowest polymorph, eV/atom: 0.000
Energy relative to the elements, eV/f.u.: -0.251
E, eV/atom: -10.85
Spin magnetization, μB per formula unit: 2.31
Mass density, g cm⁻³: 17.939

a = 5.0883 Å, b = 5.0883 Å, c = 3.1794 Å
α = 90.00°, β = 90.00°, γ = 90.00°
Closest atoms and distances in Å follow each position.
Positions (direct):
Np 0.0000 0.0000 0.0000  8 Pa 3.00, 2 Np 3.18
Pa 0.0000 0.5000 0.5000  4 Os 3.00, 4 Np 3.00, 2 Pa 3.18
Pa 0.5000 0.0000 0.5000  4 Os 3.00, 4 Np 3.00, 2 Pa 3.18
Os 0.5000 0.5000 0.0000  8 Pa 3.00, 2 Os 3.18

[5]
## Ni7Ge3As (PBE)

Data for a relaxed structure of Ni7Ge3As.

Computed properties:
D(E_F), states/eV/f.u.: 7.04
Energy relative to the elements, eV/f.u.: -1.155
E, eV/atom: -5.47
Spin magnetization, μB per formula unit: 0.00
Mass density, g cm⁻³: 8.016

a = 5.8427 Å, b = 5.8427 Å, c = 4.8350 Å
α = 108.36°, β = 108.36°, γ = 94.49°
Closest atoms and distances in Å follow each position.
Positions (direct):
Ni 0.0000 0.0000 0.0000  2 Ge 2.40, 2 As 2.42, 2 Ni 2.54
Ni 0.0903 0.5585 0.3115  3 Ge 2.33-2.48, 3 Ni 2.52-2.61, 1 As 2.61
Ni 0.3039 0.3039 0.9467  1 As 2.38, 3 Ge 2.39, 5 Ni 2.54-2.63
Ni 0.4415 0.9097 0.6885  3 Ge 2.33-2.48, 3 Ni 2.52-2.61, 1 As 2.61
Ni 0.5585 0.0903 0.3115  3 Ge 2.33-2.48, 3 Ni 2.52-2.61, 1 As 2.61
Ni 0.6961 0.6961 0.0533  1 As 2.38, 3 Ge 2.39, 5 Ni 2.54-2.63
Ni 0.9097 0.4415 0.6885  3 Ge 2.33-2.48, 3 Ni 2.52-2.61, 1 As 2.61
Ge 0.2792 0.7208 0.0000  7 Ni 2.33-2.48
Ge 0.5000 0.5000 0.5000  6 Ni 2.37-2.39
Ge 0.7208 0.2792 0.0000  7 Ni 2.33-2.48
As 0.0000 0.0000 0.5000  8 Ni 2.38-2.61

[6]
## YAlTeN2 (PBE)

Data for a relaxed structure of YAlTeN2.

Computed properties:
D(E_F), states/eV/f.u.: 2.56
E above lowest polymorph, eV/atom: 0.556
E, eV/atom: -5.27
Spin magnetization, μB per formula unit: 3.02
Formation energy without anion corrections, eV per atom: 0.73
Mass density, g cm⁻³: 3.665

a = 4.4052 Å, b = 4.4052 Å, c = 6.3392 Å
α = 90.00°, β = 90.00°, γ = 90.00°
Closest atoms and distances in Å follow each position.
Positions (direct):
Y 0.0000 0.0000 0.0000  4 N 2.20
Al 0.5000 0.5000 0.5000  4 Te 3.11
Te 0.0000 0.0000 0.5000  4 Al 3.11, 2 Y 3.17
N 0.0000 0.5000 0.0000  2 Y 2.20
N 0.5000 0.0000 0.0000  2 Y 2.20

[7]
## Mg4Si3 (PBE)

Data for a relaxed structure of Mg4Si3.

Computed properties:
D(E_F), states/eV/f.u.: 1.77
E above lowest polymorph, eV/atom: 0.058
E, eV/atom: -3.21
Spin magnetization, μB per formula unit: 0.00
Formation energy without anion corrections, eV per atom: 0.03
Mass density, g cm⁻³: 2.208

a = 6.3649 Å, b = 7.2688 Å, c = 12.8887 Å
α = 99.70°, β = 103.24°, γ = 104.41°
Closest atoms and distances in Å follow each position.
Positions (direct):
Mg 0.0000 0.0000 0.0000  5 Si 2.74-2.82
Mg 0.0030 0.7074 0.1695  3 Si 2.69-2.82, 1 Mg 2.99
Mg 0.0378 0.5927 0.5431  4 Si 2.71-2.93, 1 Mg 3.01
Mg 0.2134 0.2265 0.4904  6 Si 2.76-3.00
Mg 0.2559 0.1696 0.8191  5 Si 2.77-2.95, 1 Mg 3.08
Mg 0.3272 0.1621 0.2526  4 Si 2.73-2.92
Mg 0.3800 0.5765 0.7430  4 Si 2.69-2.88, 1 Mg 2.98
Mg 0.4580 0.9858 0.6354  4 Si 2.74-3.02
Mg 0.4796 0.6259 0.2207  6 Si 2.76-3.01
Mg 0.5578 0.6348 0.4938  6 Si 2.77-3.04, 1 Mg 3.08
Mg 0.5679 0.2286 0.0509  4 Si 2.68-2.94
Mg 0.5873 0.6543 0.9891  3 Si 2.72-2.82, 2 Mg 2.99-3.04
Mg 0.6855 0.1419 0.4541  6 Si 2.75-2.98
Mg 0.7950 0.0504 0.2285  4 Si 2.76-3.07, 1 Mg 3.07
Mg 0.8345 0.3806 0.8628  4 Si 2.75-2.94
Mg 0.8568 0.7734 0.7529  4 Si 2.73-2.86, 1 Mg 2.98
Si 0.0170 0.3354 0.1399  2 Si 2.38-2.43
Si 0.1419 0.4656 0.3376  3 Si 2.43-2.64
Si 0.2251 0.3869 0.0100  1 Si 2.38
Si 0.2605 0.8106 0.8972  2 Si 2.42-2.46
Si 0.2794 0.8512 0.3884  2 Si 2.42-2.64
Si 0.3576 0.8753 0.0956  1 Si 2.42
Si 0.6004 0.9830 0.8523  1 Si 2.46, 1 Mg 2.74
Si 0.6346 0.3919 0.6404  1 Si 2.42
Si 0.7512 0.4426 0.3376  1 Si 2.45, 1 Mg 2.71
Si 0.8976 0.8461 0.3888  2 Si 2.42-2.58
Si 0.9674 0.9605 0.5976  2 Si 2.43-2.58
Si 0.9783 0.2978 0.6635  2 Si 2.42-2.43, 1 Mg 2.69

[8]
## Tc2RuRh (PBE)

Data for a relaxed structure of Tc2RuRh.

Computed properties:
D(E_F), states/eV/f.u.: 5.48
E above lowest polymorph, eV/atom: 0.153
Energy relative to the elements, eV/f.u.: 0.084
E, eV/atom: -9.32
Spin magnetization, μB per formula unit: 0.00
Mass density, g cm⁻³: 11.620

a = 4.6917 Å, b = 2.7234 Å, c = 4.7354 Å
α = 90.00°, β = 109.15°, γ = 90.00°
Closest atoms and distances in Å follow each position.
Positions (direct):
Tc 0.0000 0.0000 0.0000  6 Tc 2.71-2.72, 4 Ru 2.73, 2 Rh 2.73
Tc 0.5000 0.5000 0.0000  6 Tc 2.71-2.72, 4 Rh 2.73, 2 Ru 2.73
Ru 0.0000 0.5000 0.5000  4 Rh 2.71, 2 Ru 2.72, 6 Tc 2.73
Rh 0.5000 0.0000 0.5000  4 Ru 2.71, 2 Rh 2.72, 6 Tc 2.73

[9]
## DyThTc (PBE)

Data for a relaxed structure of DyThTc.

Computed properties:
D(E_F), states/eV/f.u.: 1.89
E above lowest polymorph, eV/atom: 0.062
Energy relative to the elements, eV/f.u.: -0.150
E, eV/atom: -7.51
Spin magnetization, μB per formula unit: 0.00
Mass density, g cm⁻³: 9.925

a = 7.6290 Å, b = 7.4502 Å, c = 8.6246 Å
α = 56.09°, β = 54.14°, γ = 69.76°
Closest atoms and distances in Å follow each position.
Positions (direct):
Dy 0.2031 0.7969 0.4457  3 Tc 2.80-3.08
Dy 0.6957 0.8043 0.4531  3 Tc 2.80-3.08
Dy 0.7969 0.2031 0.5543  3 Tc 2.80-3.08
Dy 0.8043 0.6957 0.0469  3 Tc 2.80-3.08
Th 0.2755 0.4112 0.9535  2 Tc 2.59-2.83
Th 0.2965 0.8903 0.9745  2 Tc 2.59-2.83
Th 0.4112 0.2755 0.3597  2 Tc 2.59-2.83
Th 0.8903 0.2965 0.8388  2 Tc 2.59-2.83
Tc 0.0722 0.5221 0.3652  2 Th 2.59-2.83, 2 Dy 2.80-2.88
Tc 0.2095 0.8848 0.7279  2 Th 2.59-2.83, 2 Dy 2.80-2.88
Tc 0.5221 0.0722 0.0405  2 Th 2.59-2.83, 2 Dy 2.80-2.88
Tc 0.8848 0.2095 0.1778  2 Th 2.59-2.83, 2 Dy 2.80-2.88

[10]
## NiAgPt (PBE)

Data for a relaxed structure of NiAgPt.

Computed properties:
D(E_F), states/eV/f.u.: 3.77
E above lowest polymorph, eV/atom: 0.034
Energy relative to the elements, eV/f.u.: 0.216
E, eV/atom: -4.82
Spin magnetization, μB per formula unit: 0.78
Mass density, g cm⁻³: 13.474

a = 4.8249 Å, b = 4.8249 Å, c = 7.6021 Å
α = 112.71°, β = 112.71°, γ = 33.39°
Closest atoms and distances in Å follow each position.
Positions (direct):
Ni 0.0000 0.0000 0.0000  4 Ni 2.51-2.77, 5 Pt 2.61-2.75, 2 Ag 2.69
Ni 0.6426 0.6426 0.8451  4 Ni 2.51-2.77, 2 Pt 2.55, 5 Ag 2.75-2.79
Ag 0.3181 0.3181 0.6846  5 Ni 2.69-2.76, 5 Ag 2.77-2.86, 2 Pt 2.97
Ag 0.9906 0.9906 0.5015  5 Ag 2.77-2.86, 2 Ni 2.79, 5 Pt 2.83-2.95
Pt 0.3238 0.3238 0.1310  5 Ni 2.55-2.75, 5 Pt 2.77-2.82
Pt 0.6568 0.6568 0.3100  2 Ni 2.61, 5 Pt 2.77-2.82, 3 Ag 2.83-2.86

[11]
## SrMgAl2Zn4 (PBE)

Data for a relaxed structure of SrMgAl2Zn4.

Computed properties:
D(E_F), states/eV/f.u.: 1.93
Energy relative to the elements, eV/f.u.: -0.972
E, eV/atom: -2.10
Spin magnetization, μB per formula unit: 0.00
Mass density, g cm⁻³: 4.372

a = 9.9732 Å, b = 9.9732 Å, c = 9.9732 Å
α = 25.54°, β = 25.54°, γ = 25.54°
Closest atoms and distances in Å follow each position.
Positions (direct):
Sr 0.0000 0.0000 0.0000  8 Zn 3.26-3.55
Mg 0.5000 0.5000 0.5000  8 Zn 2.78-2.84
Al 0.2364 0.2364 0.2364  6 Zn 2.65-2.66
Al 0.7636 0.7636 0.7636  6 Zn 2.65-2.66
Zn 0.1228 0.1228 0.1228  3 Al 2.65, 3 Mg 2.84, 3 Zn 2.96
Zn 0.4039 0.4039 0.4039  3 Al 2.66, 1 Mg 2.78, 3 Zn 2.96
Zn 0.5961 0.5961 0.5961  3 Al 2.66, 1 Mg 2.78, 3 Zn 2.96
Zn 0.8772 0.8772 0.8772  3 Al 2.65, 3 Mg 2.84, 3 Zn 2.96

[12]
## Hf2CoCuSn2 (PBE)

Data for a relaxed structure of Hf2CoCuSn2.

Computed properties:
D(E_F), states/eV/f.u.: 0.77
Energy relative to the elements, eV/f.u.: -2.308
E, eV/atom: -6.90
Spin magnetization, μB per formula unit: 0.00
Mass density, g cm⁻³: 10.684

a = 4.3568 Å, b = 4.3568 Å, c = 6.7777 Å
α = 90.00°, β = 90.00°, γ = 120.00°
Closest atoms and distances in Å follow each position.
Positions (direct):
Hf 0.0000 0.0000 0.0000  3 Cu 2.75, 3 Sn 2.99
Hf 0.0000 0.0000 0.4795  3 Co 2.69, 3 Sn 3.00
Co 0.3333 0.6667 0.3398  4 Sn 2.61-2.63, 3 Hf 2.69
Cu 0.6667 0.3333 0.8345  4 Sn 2.62-2.74, 3 Hf 2.75
Sn 0.3333 0.6667 0.7276  3 Cu 2.62, 1 Co 2.63
Sn 0.6667 0.3333 0.2383  3 Co 2.61, 1 Cu 2.74

What did the eighth record say?
## Tc2RuRh (PBE)

Data for a relaxed structure of Tc2RuRh.

Computed properties:
D(E_F), states/eV/f.u.: 5.48
E above lowest polymorph, eV/atom: 0.153
Energy relative to the elements, eV/f.u.: 0.084
E, eV/atom: -9.32
Spin magnetization, μB per formula unit: 0.00
Mass density, g cm⁻³: 11.620

a = 4.6917 Å, b = 2.7234 Å, c = 4.7354 Å
α = 90.00°, β = 109.15°, γ = 90.00°
Closest atoms and distances in Å follow each position.
Positions (direct):
Tc 0.0000 0.0000 0.0000  6 Tc 2.71-2.72, 4 Ru 2.73, 2 Rh 2.73
Tc 0.5000 0.5000 0.0000  6 Tc 2.71-2.72, 4 Rh 2.73, 2 Ru 2.73
Ru 0.0000 0.5000 0.5000  4 Rh 2.71, 2 Ru 2.72, 6 Tc 2.73
Rh 0.5000 0.0000 0.5000  4 Ru 2.71, 2 Rh 2.72, 6 Tc 2.73

Question: What is the formula in the eighth record?
Answer: Tc2RuRh

Question: Number 7 is which compound?
Answer: Mg4Si3